[1]
## U2SN (PBE-GGA)

Data for an optimized crystal structure of U2SN.

The structure in POSCAR format:
```
U2SN
1.0
-2.4314 -0.9958 -2.3499
-1.8663 -2.9424 0.5340
-6.0089 2.1807 2.6495
S U N
1 2 1
Cartesian
-3.3984 0.1879 0.7929
-7.5904 -1.4246 0.5259
-4.8829 -3.4914 -1.3997
-7.0878 0.5979 1.7926
```

Output
formation energy (no corrections): -1.19 eV per atom
distance to the lowest polymorph of the same formula: 0.0 kJ/mol of atoms
mass density: 12.183 g cm⁻³
crystal system: trigonal

[2]
## U2SN (PBE-GGA)

Data for an optimized crystal structure of U2SN.

The structure in POSCAR format:
```
U2SN
1.0
-3.0066 1.0865 -0.1583
0.0151 -0.4204 -3.1731
-2.2120 -6.0067 0.7853
N U S
1 2 1
Cartesian
-1.4957 0.3330 -1.6657
-0.4851 -1.3174 0.1722
-1.7269 -4.6894 0.6131
-2.6018 -2.6703 -1.2730
```

Output
formation energy (no corrections): -0.68 eV per atom
distance to the lowest polymorph of the same formula: 49.1 kJ/mol of atoms
mass density: 13.122 g cm⁻³
crystal system: tetragonal

[3]
## USN (PBE-GGA)

Data for an optimized crystal structure of USN.

The structure in POSCAR format:
```
USN
1.0
3.7503 -0.1799 0.0366
0.1795 3.7504 0.0371
-0.0682 -0.0629 6.6737
U N S
2 2 2
Cartesian
1.1917 1.2718 4.9237
3.1997 3.0968 0.7639
3.0544 1.1702 6.1805
1.2689 3.1354 6.1808
1.2223 1.2998 1.9460
3.1691 3.0684 3.7418
```

Output
formation energy (no corrections): -1.48 eV per atom
distance to the lowest polymorph of the same formula: 0.0 kJ/mol of atoms
mass density: 10.027 g cm⁻³
crystal system: tetragonal

[4]
## U5S5N (PBE-GGA)

Data for an optimized crystal structure of U5S5N.

The structure in POSCAR format:
```
U5S5N
1.0
-2.4659 -4.7207 0.7200
6.3003 -0.5172 -1.8715
-0.0456 1.1551 7.4178
S N U
5 1 5
Cartesian
0.3288 -2.3258 5.9357
3.2220 -1.0825 3.9375
-0.0228 0.5776 3.7089
0.5669 -3.0002 2.3287
3.4600 -1.7569 0.3306
0.0000 0.0000 0.0000
2.2509 -3.5507 4.4869
1.5380 -0.5320 1.7793
2.2610 -4.1742 0.4334
-1.2329 -2.3603 0.3600
1.5279 0.0915 5.8328
```

Output
formation energy (no corrections): -1.30 eV per atom
mass density: 9.870 g cm⁻³
crystal system: monoclinic

[5]
## U4S5N (PBE-GGA)

Data for an optimized crystal structure of U4S5N.

The structure in POSCAR format:
```
U4S5N
1.0
-0.2986 -1.2903 -3.5718
6.8676 -2.3305 0.2679
-4.2539 -5.8056 4.4844
N S U
1 5 4
Cartesian
-0.1493 -0.6452 -1.7859
-1.9070 -5.2572 0.0272
1.3618 -6.5223 0.2110
4.2221 -4.1692 1.1533
0.9532 -2.9042 0.9695
3.2845 -1.8104 -1.6520
-0.9044 -2.9116 -0.9040
5.3062 -1.8520 0.2255
-2.9912 -7.5745 0.9550
3.2194 -6.5149 2.0845
```

Output
formation energy (no corrections): -1.26 eV per atom
mass density: 8.438 g cm⁻³
crystal system: monoclinic

[6]
## U4S3N (PBE-GGA)

Data for an optimized crystal structure of U4S3N.

The structure in POSCAR format:
```
U4S3N
1.0
5.3309 0.0000 0.0000
0.0000 5.3309 0.0000
0.0000 0.0000 5.3309
S U N
3 4 1
Cartesian
0.0000 2.6654 2.6654
2.6654 2.6654 0.0000
2.6654 0.0000 2.6654
2.6654 0.0000 0.0000
0.0000 2.6654 0.0000
2.6654 2.6654 2.6654
0.0000 0.0000 2.6654
0.0000 0.0000 0.0000
```

Output
formation energy (no corrections): -1.18 eV per atom
mass density: 11.644 g cm⁻³
crystal system: cubic